The following is a PBE calculation of a geometry-optimized Sr4ScPa3As8 structure, from Alexandria.

The structure belongs to space group R-3m (No. 166, hexagonal axes); the cell edges are 8.4329, 8.4329 and 21.3095 Å and the angles 90.00°, 90.00° and 120.00°. The asymmetric unit holds Sr at (0.0000, 0.0000, 0.0000), Sr at (0.0000, 0.5000, 0.0000), Sc at (0.0000, 0.0000, 0.5000), Pa at (0.0000, 0.5000, 0.5000), As at (0.0000, 0.0000, 0.2398) and As at (0.0018, 0.5009, 0.2382).

The total energy is -6.098 eV per atom. The calculation puts the size of the total moment at 4.081 μB per cell. As for the formation energy: -1.176 eV per atom.